(1)
This record from the Alexandria database describes crystalline PaTeF at its relaxed geometry. The functional is PBE.

abc: 3.553 3.553 5.846
angles: 107.69 107.69 90.00
Each line ends with the local moment (μB).
Element x y z (fractional)
Te  0.013  0.013  0.027  -0.06
Pa  0.697  0.697  0.394  1.47
F  0.289  0.289  0.579  0.00

Results
As for the total magnetic moment: 1.66 Bohr magnetons per cell. As for the theoretical density: 9413 kg/m3. The calculation puts the energy relative to the elements, uncorrected at -1.6165 eV per atom.

=====

(2)
This record from the Alexandria database describes crystalline ScSb3 at its relaxed geometry. The functional is PBE.

abc: 6.085 6.085 6.085
angles: 148.67 115.77 73.21
Element x y z (fractional)
Sc  0.505  0.750  0.755
Sb  0.890  0.250  0.640
Sb  0.419  0.449  0.969
Sb  0.020  0.051  0.969

Results
As for the total magnetic moment: 0.00 Bohr magnetons per cell. As for the theoretical density: 6559 kg/m3. The calculation puts the energy relative to the elements, uncorrected at -0.3464 eV per atom.

=====

(3)
This record from the Alexandria database describes crystalline GaGeTe3 at its relaxed geometry. The functional is PBE.

abc: 5.475 5.475 5.475
angles: 90.00 90.00 90.00
Element x y z (fractional)
Te  0.500  0.000  0.000
Ge  0.000  0.000  0.000
Ga  0.500  0.500  0.500
Te  0.000  0.500  0.000
Te  0.000  0.000  0.500

Results
As for the total magnetic moment: 0.00 Bohr magnetons per cell. As for the theoretical density: 5312 kg/m3. The calculation puts the energy relative to the elements, uncorrected at 0.3412 eV per atom.

=====

(4)
This record from the Alexandria database describes crystalline KScZn at its relaxed geometry. The functional is PBE.

abc: 5.199 5.199 5.199
angles: 60.00 60.00 60.00
Each line ends with the local moment (μB).
Element x y z (fractional)
Sc  0.000  0.000  0.000  0.78
K  0.750  0.750  0.750  0.03
Zn  0.500  0.500  0.500  0.04

Results
As for the total magnetic moment: 1.44 Bohr magnetons per cell. Its formation energy is 1.089 eV/atom. As for the theoretical density: 2498 kg/m3.

=====

(5)
This record from the Alexandria database describes crystalline FeHgBr at its relaxed geometry. The functional is PBE.

abc: 3.488 3.488 6.574
angles: 90.00 90.00 120.00
Each line ends with the local moment (μB).
Element x y z (fractional)
Fe  0.667  0.333  0.314  2.99
Hg  0.333  0.667  0.604  -0.02
Br  0.000  0.000  0.081  0.12

Results
As for the total magnetic moment: 3.10 Bohr magnetons per cell. As for the theoretical density: 8064 kg/m3. The calculation puts the energy relative to the elements, uncorrected at 0.1423 eV per atom.

=====

(6)
This record from the Alexandria database describes crystalline TlCuTe2 at its relaxed geometry. The functional is PBE.

abc: 3.324 3.324 10.118
angles: 90.00 90.00 97.36
Element x y z (fractional)
Tl  0.000  0.000  0.545
Cu  0.500  0.500  0.769
Te  0.500  0.500  0.273
Te  0.000  0.000  0.913

Results
As for the total magnetic moment: 0.00 Bohr magnetons per cell. As for the theoretical density: 7834 kg/m3. The calculation puts the energy relative to the elements, uncorrected at 0.1728 eV per atom.

=====

(7)
This record from the Alexandria database describes crystalline K4Tb3PrTe8 at its relaxed geometry. The functional is PBE.

abc: 9.094 9.782 9.094
angles: 117.74 120.00 90.00
Element x y z (fractional)
Te  0.730  0.712  0.971
Te  0.759  0.288  0.029
Te  0.759  0.288  0.518
Te  0.241  0.712  0.971
K  0.500  0.000  0.000
Te  0.270  0.288  0.029
K  0.000  0.000  0.500
K  0.000  0.000  0.000
Tb  0.500  0.500  0.500
Pr  0.000  0.500  0.000
K  0.500  0.000  0.500
Te  0.264  0.292  0.528
Tb  0.000  0.500  0.500
Te  0.736  0.708  0.472
Te  0.241  0.712  0.482
Tb  0.500  0.500  0.000

Results
As for the total magnetic moment: 0.00 Bohr magnetons per cell. As for the theoretical density: 5045 kg/m3. The calculation puts the energy relative to the elements, uncorrected at -1.4050 eV per atom.

=====

(8)
This record from the Alexandria database describes crystalline HfP3Os at its relaxed geometry. The functional is PBE.

abc: 4.869 4.869 4.869
angles: 90.00 90.00 90.00
Each line ends with the local moment (μB).
Element x y z (fractional)
Hf  0.000  0.000  0.000  0.04
P  0.000  0.500  0.000  -0.12
Os  0.500  0.500  0.500  2.40
P  0.000  0.000  0.500  -0.14
P  0.500  0.000  0.000  -0.07

Results
As for the total magnetic moment: 2.06 Bohr magnetons per cell. Its formation energy is 1.423 eV/atom. As for the theoretical density: 6643 kg/m3.

=====

(9)
This record from the Alexandria database describes crystalline Pr5Se4S at its relaxed geometry. The functional is PBE.

abc: 4.228 4.228 15.337
angles: 97.92 97.92 90.00
Element x y z (fractional)
Pr  0.095  0.095  0.189
Pr  0.703  0.703  0.407
Se  0.804  0.804  0.607
Pr  0.500  0.500  0.000
Se  0.196  0.196  0.393
S  0.000  0.000  0.000
Se  0.399  0.399  0.798
Se  0.601  0.601  0.202
Pr  0.297  0.297  0.593
Pr  0.905  0.905  0.811

Results
As for the total magnetic moment: 0.00 Bohr magnetons per cell. As for the theoretical density: 6499 kg/m3. The calculation puts the energy relative to the elements, uncorrected at -1.8720 eV per atom.

=====

(10)
This record from the Alexandria database describes crystalline CsKBi3 at its relaxed geometry. The functional is PBE.

abc: 6.215 6.215 6.215
angles: 90.00 90.00 90.00
Element x y z (fractional)
Cs  0.500  0.500  0.500
K  0.000  0.000  0.000
Bi  0.000  0.500  0.000
Bi  0.000  0.000  0.500
Bi  0.500  0.000  0.000

Results
As for the total magnetic moment: 0.00 Bohr magnetons per cell. Its formation energy is 0.504 eV/atom. As for the theoretical density: 5527 kg/m3.

=====

(11)
This record from the Alexandria database describes crystalline CePrN at its relaxed geometry. The functional is PBE.

abc: 3.192 3.192 6.811
angles: 103.55 103.55 90.00
Element x y z (fractional)
N  0.696  0.696  0.392
Ce  0.272  0.272  0.544
Pr  0.032  0.032  0.064

Results
As for the total magnetic moment: 0.00 Bohr magnetons per cell. As for the theoretical density: 7480 kg/m3. The calculation puts the energy relative to the elements, uncorrected at -0.3859 eV per atom.

=====

(12)
This record from the Alexandria database describes crystalline MnIrBr4 at its relaxed geometry. The functional is PBE.

abc: 6.051 6.051 6.051
angles: 60.00 60.00 60.00
Each line ends with the local moment (μB).
Element x y z (fractional)
Ir  0.750  0.750  0.750  1.56
Br  0.376  0.376  0.872  -0.07
Br  0.872  0.376  0.376  -0.07
Br  0.376  0.872  0.376  -0.07
Br  0.376  0.376  0.376  -0.07
Mn  0.000  0.000  0.000  4.42

Results
As for the total magnetic moment: 6.04 Bohr magnetons per cell. As for the theoretical density: 6008 kg/m3. The calculation puts the energy relative to the elements, uncorrected at 1.5065 eV per atom.